Here is Li5Ca2Zn2Cd after structural relaxation from Alexandria. Energies are from PBE.

a = 4.2491 Å, b = 10.1939 Å, c = 10.1939 Å
α = 90.00°, β = 90.00°, γ = 90.00°
With the nearest neighbours (Å) after each atom.
Positions (direct):
Zn  0.0000  0.6098  0.8902  6 Li 2.65-2.88
Ca  0.0000  0.6826  0.1826  3 Zn 2.99-3.07
Cd  0.0000  0.0000  0.0000  8 Li 3.05
Li  0.5000  0.7064  0.4386  2 Zn 2.88, 2 Cd 3.05, 3 Li 3.06-3.10
Zn  0.0000  0.1098  0.6098  6 Li 2.65-2.88
Li  0.5000  0.4386  0.2936  2 Zn 2.88, 2 Cd 3.05, 3 Li 3.06-3.10
Li  0.5000  0.2936  0.5614  2 Zn 2.88, 2 Cd 3.05, 3 Li 3.06-3.10
Li  0.5000  0.5000  0.0000  4 Zn 2.65
Li  0.5000  0.5614  0.7064  2 Zn 2.88, 2 Cd 3.05, 3 Li 3.06-3.10
Ca  0.0000  0.3174  0.8174  3 Zn 2.99-3.07
Li  0.5000  0.0614  0.7936  2 Zn 2.88, 2 Cd 3.05, 3 Li 3.06-3.10
Ca  0.0000  0.1826  0.3174  3 Zn 2.99-3.07
Zn  0.0000  0.3902  0.1098  6 Li 2.65-2.88
Li  0.5000  0.2064  0.0614  2 Zn 2.88, 2 Cd 3.05, 3 Li 3.06-3.10
Li  0.5000  0.0000  0.5000  4 Zn 2.65
Li  0.5000  0.9386  0.2064  2 Zn 2.88, 2 Cd 3.05, 3 Li 3.06-3.10
Cd  0.0000  0.5000  0.5000  8 Li 3.05
Ca  0.0000  0.8174  0.6826  3 Zn 2.99-3.07
Zn  0.0000  0.8902  0.3902  6 Li 2.65-2.88
Li  0.5000  0.7936  0.9386  2 Zn 2.88, 2 Cd 3.05, 3 Li 3.06-3.10

Properties
Calculated formation energy in eV/atom: -0.13
Total magnetization in Bohr magnetons per cell: 0.0
Mass density in kg/m3: 2693